VASP calculation (PBE) on a geometry-optimized TaGePO structure.

Unit cell a=4.0044 b=4.0044 c=9.0778 alpha=90.00 beta=90.00 gamma=90.00
Element x y z (fractional)
Ta: 0.2500 0.7500 0.0000
Ta: 0.7500 0.2500 0.0000
Ge: 0.2500 0.2500 0.4061
Ge: 0.7500 0.7500 0.5939
P: 0.2500 0.2500 0.8373
P: 0.7500 0.7500 0.1627
O: 0.2500 0.7500 0.5000
O: 0.7500 0.2500 0.5000

Results
The value obtained for the total magnetization is 0.00 μB/atom. As for the polymorph energy (0 for the lowest one): 2.083 eV/f.u.